YTh2Ir2, relaxed, DFT PBE; volume = 243.8 Å³ per cell; total energy = -8.62 eV per atom; energy of formation from the pure elements = -0.8103 eV/atom; N(E_F) = 0.91 states/eV/atom
1.0
7.8722 0.0000 0.0000
0.0000 7.8722 0.0000
0.0000 0.0000 3.9338
Y Th Ir
2 4 4
Direct
0.0000 0.0000 0.0000
0.5000 0.5000 0.0000
0.1652 0.3348 0.5000
0.3348 0.8348 0.5000
0.6652 0.1652 0.5000
0.8348 0.6652 0.5000
0.1372 0.6372 0.0000
0.3628 0.1372 0.0000
0.6372 0.8628 0.0000
0.8628 0.3628 0.0000



ThZn2Ir2, relaxed, DFT PBE; ΔE to the lowest computed polymorph = 0.42 eV per formula unit; volume = 186.8 Å³ per cell; total energy = -6.04 eV per atom; energy of formation from the pure elements = -0.4992 eV/atom; N(E_F) = 0.55 states/eV/atom
1.0
-2.0860 2.0860 10.7329
2.0860 -2.0860 10.7329
2.0860 2.0860 -10.7329
Th Zn Ir
2 4 4
Direct
0.1353 0.1353 0.0000
0.8647 0.8647 0.0000
0.0000 0.5000 0.5000
0.3156 0.3156 0.0000
0.5000 0.0000 0.5000
0.6844 0.6844 0.0000
0.2500 0.7500 0.5000
0.4300 0.4300 0.0000
0.5700 0.5700 0.0000
0.7500 0.2500 0.5000